(1)
Material: Pm3Sn4Rh2
Method: DFT, GGA-PBE
State: optimized geometry

symmetry: No. 12
E_form: -0.71 eV/atom
distance to the lowest polymorph of the same formula: 0.0588 eV per atom

Structure (POSCAR):
```
Pm3Sn4Rh2
1.0
-3.9536 2.6126 0.3996
-1.6487 0.9431 5.8213
2.7050 8.0390 2.5029
Pm Sn Rh
3 4 2
Direct
0.3199 0.7327 0.6275
0.0000 0.0000 0.0000
0.6801 0.2673 0.3725
0.2805 0.3601 0.0789
0.7195 0.6399 0.9211
0.0203 0.3104 0.6489
0.9797 0.6896 0.3511
0.4107 0.9056 0.2729
0.5893 0.0944 0.7271
```

***

(2)
Material: Ce6Ru2Rh
Method: DFT, GGA-PBE
State: optimized geometry

symmetry: No. 12
E_form: -0.38 eV/atom
distance to the lowest polymorph of the same formula: 0.0000 eV per atom

Structure (POSCAR):
```
Ce6Ru2Rh
1.0
-2.2319 0.6847 -4.1188
-3.4427 -0.6453 4.4793
1.6710 8.3933 0.4898
Ce Ru Rh
6 2 1
Direct
0.0538 0.1076 0.8331
0.6081 0.2162 0.1704
0.3919 0.7838 0.8296
0.6825 0.3649 0.5851
0.3175 0.6351 0.4149
0.9462 0.8924 0.1669
0.7285 0.4569 0.8754
0.2715 0.5431 0.1246
0.0000 0.0000 0.5000
```

***

(3)
Material: Ac12Ni6Ru
Method: DFT, GGA-PBE
State: optimized geometry

symmetry: No. 148
E_form: -0.13 eV/atom

Structure (POSCAR):
```
Ac12Ni6Ru
1.0
8.6567 0.1176 0.1409
-1.1962 8.5744 0.1409
-1.1962 -1.3936 8.4616
Ac Ni Ru
12 6 1
Direct
0.8135 0.5945 0.4273
0.4273 0.8135 0.5945
0.5945 0.4273 0.8135
0.1865 0.4055 0.5727
0.5727 0.1865 0.4055
0.4055 0.5727 0.1865
0.0992 0.9487 0.3187
0.0513 0.6813 0.9008
0.6813 0.9008 0.0513
0.9008 0.0513 0.6813
0.9487 0.3187 0.0992
0.3187 0.0992 0.9487
0.6852 0.8766 0.3882
0.6118 0.3148 0.1234
0.1234 0.6118 0.3148
0.3148 0.1234 0.6118
0.3882 0.6852 0.8766
0.8766 0.3882 0.6852
0.0000 0.0000 0.0000
```